Entry 1:
Below is a relaxed Ac2ThPb crystal, with properties calculated at the PBE level.

abc: 3.8184 3.8184 10.1470
angles: 90.00 90.00 90.00
Atoms (fractional coordinates):
Ac  0.0000  0.0000  0.2418
Ac  0.0000  0.0000  0.7582
Th  0.5000  0.5000  0.5000
Pb  0.5000  0.5000  0.0000

Values from the calculation:
Space-group type ... No. 123
Energy above the lowest structure with this stoichiometry ... 0.029 eV/atom

Entry 2:
Below is a relaxed Ac3ThPb12 crystal, with properties calculated at the PBE level.

abc: 5.0485 5.0485 19.8879
angles: 90.00 90.00 90.00
Atoms (fractional coordinates):
Ac  0.0000  0.0000  0.0000
Ac  0.0000  0.0000  0.2553
Ac  0.0000  0.0000  0.7447
Th  0.0000  0.0000  0.5000
Pb  0.0000  0.5000  0.1274
Pb  0.0000  0.5000  0.3808
Pb  0.0000  0.5000  0.6192
Pb  0.0000  0.5000  0.8726
Pb  0.5000  0.0000  0.1274
Pb  0.5000  0.0000  0.3808
Pb  0.5000  0.0000  0.6192
Pb  0.5000  0.0000  0.8726
Pb  0.5000  0.5000  0.0000
Pb  0.5000  0.5000  0.2525
Pb  0.5000  0.5000  0.5000
Pb  0.5000  0.5000  0.7475

Values from the calculation:
Space-group type ... No. 123

Entry 3:
Below is a relaxed Ac2Th2Pb crystal, with properties calculated at the PBE level.

abc: 10.0394 10.0394 10.0394
angles: 153.64 153.64 37.63
Atoms (fractional coordinates):
Ac  0.0913  0.0913  0.0000
Ac  0.9087  0.9087  0.0000
Th  0.2500  0.7500  0.5000
Th  0.7500  0.2500  0.5000
Pb  0.5000  0.5000  0.0000

Values from the calculation:
Space-group type ... No. 139

Entry 4:
Below is a relaxed AcThPb crystal, with properties calculated at the PBE level.

abc: 5.6774 5.6774 3.8215
angles: 90.00 90.00 120.00
Atoms (fractional coordinates):
Ac  0.0000  0.0000  0.0000
Th  0.6667  0.3333  0.4821
Pb  0.3333  0.6667  0.6074

Values from the calculation:
Space-group type ... No. 156
Energy above the lowest structure with this stoichiometry ... 0.345 eV/atom

| no. | energy relative to the elements (meV per atom) |
| --- | --- |
| 1 | -121 |
| 2 | -366 |
| 3 | 292 |
| 4 | 1 |